(1)
Below is a geometry-optimized CaGe2Ir4 structure, with properties calculated at the PBE level.

V ... 17.0 Å³ per atom
Energy of formation ... -3.0 eV/f.u.
Density ... 13333 kg/m3
Crystal system ... tetragonal
Electronic total energy ... -49.71 eV/f.u.

Cell: 7.7673 7.7673 3.9396 Å, 90.00 90.00 90.00°
Atoms (fractional coordinates):
Ca: 0.0000 0.0000 0.0000
Ca: 0.5000 0.5000 0.5000
Ge: 0.2260 0.2260 0.5000
Ge: 0.2740 0.7260 0.0000
Ge: 0.7260 0.2740 0.0000
Ge: 0.7740 0.7740 0.5000
Ir: 0.0776 0.6550 0.5000
Ir: 0.1550 0.4224 0.0000
Ir: 0.3450 0.9224 0.5000
Ir: 0.4224 0.1550 0.0000
Ir: 0.5776 0.8450 0.0000
Ir: 0.6550 0.0776 0.5000
Ir: 0.8450 0.5776 0.0000
Ir: 0.9224 0.3450 0.5000


(2)
Below is a geometry-optimized CeHoAgSn structure, with properties calculated at the PBE level.

V ... 26.4 Å³ per atom
Energy of formation ... -1.7 eV/f.u.
Density ... 8363 kg/m3
Crystal system ... cubic
Electronic total energy ... -19.03 eV/f.u.

Cell: 5.3049 5.3049 5.3049 Å, 60.00 60.00 60.00°
Atoms (fractional coordinates):
Ce: 0.0000 0.0000 0.0000
Ho: 0.5000 0.5000 0.5000
Ag: 0.2500 0.2500 0.2500
Sn: 0.7500 0.7500 0.7500


(3)
Below is a geometry-optimized CaMnBe2 structure, with properties calculated at the PBE level.

V ... 15.8 Å³ per atom
Energy of formation ... 2.6 eV/f.u.
Density ... 2968 kg/m3
Crystal system ... cubic
E above lowest polymorph ... 46.27 kJ per mole of atoms
Electronic total energy ... -16.02 eV/f.u.

Cell: 4.4723 4.4723 4.4723 Å, 60.00 60.00 60.00°
Atoms (fractional coordinates):
Ca: 0.0000 0.0000 0.0000
Mn: 0.7500 0.7500 0.7500
Be: 0.2500 0.2500 0.2500
Be: 0.5000 0.5000 0.5000


(4)
Below is a geometry-optimized SrAgTeBr structure, with properties calculated at the PBE level.

V ... 33.6 Å³ per atom
Density ... 4977 kg/m3
Crystal system ... trigonal
Electronic total energy ... -14.34 eV/f.u.

Cell: 14.2876 14.2876 14.2876 Å, 18.95 18.95 18.95°
Atoms (fractional coordinates):
Sr: 0.0926 0.0926 0.0926
Sr: 0.9074 0.9074 0.9074
Ag: 0.3105 0.3105 0.3105
Ag: 0.6895 0.6895 0.6895
Te: 0.3797 0.3797 0.3797
Te: 0.6203 0.6203 0.6203
Br: 0.2053 0.2053 0.2053
Br: 0.7947 0.7947 0.7947


(5)
Below is a geometry-optimized TbIn2Sn structure, with properties calculated at the PBE level.

V ... 27.4 Å³ per atom
Energy of formation ... -0.7 eV/f.u.
Density ... 7695 kg/m3
Crystal system ... cubic
E above lowest polymorph ... 26.33 kJ per mole of atoms
Electronic total energy ... -14.76 eV/f.u.

Cell: 5.3695 5.3695 5.3695 Å, 60.00 60.00 60.00°
Atoms (fractional coordinates):
Tb: 0.0000 0.0000 0.0000
In: 0.2500 0.2500 0.2500
In: 0.7500 0.7500 0.7500
Sn: 0.5000 0.5000 0.5000


(6)
Below is a geometry-optimized SiBrF structure, with properties calculated at the PBE level.

V ... 28.6 Å³ per atom
Density ... 2459 kg/m3
Crystal system ... monoclinic
Electronic total energy ... -13.57 eV/f.u.

Cell: 6.0916 4.0818 6.9446 Å, 90.00 96.73 90.00°
Atoms (fractional coordinates):
Si: 0.0999 0.2500 0.0310
Si: 0.9001 0.7500 0.9690
Br: 0.2464 0.2500 0.3397
Br: 0.7536 0.7500 0.6603
F: 0.2974 0.2500 0.8927
F: 0.7026 0.7500 0.1073


(7)
Below is a geometry-optimized LiPmGdTc structure, with properties calculated at the PBE level.

V ... 22.2 Å³ per atom
Energy of formation ... 0.1 eV/f.u.
Density ... 7631 kg/m3
Crystal system ... cubic
Electronic total energy ... -31.01 eV/f.u.

Cell: 5.0040 5.0040 5.0040 Å, 60.00 60.00 60.00°
Atoms (fractional coordinates):
Li: 0.0000 0.0000 0.0000
Pm: 0.7500 0.7500 0.7500
Gd: 0.2500 0.2500 0.2500
Tc: 0.5000 0.5000 0.5000


(8)
Below is a geometry-optimized ZrP2Se structure, with properties calculated at the PBE level.

V ... 18.8 Å³ per atom
Density ... 5137 kg/m3
Crystal system ... trigonal
Electronic total energy ... -23.26 eV/f.u.

Cell: 7.0955 7.0955 7.0955 Å, 29.16 29.16 29.16°
Atoms (fractional coordinates):
Zr: 0.0000 0.0000 0.0000
P: 0.2494 0.2494 0.2494
P: 0.7506 0.7506 0.7506
Se: 0.5000 0.5000 0.5000


(9)
Below is a geometry-optimized Ba2ReTc structure, with properties calculated at the PBE level.

V ... 31.1 Å³ per atom
Energy of formation ... 2.7 eV/f.u.
Density ... 7455 kg/m3
Crystal system ... orthorhombic
E above lowest polymorph ... 27.80 kJ per mole of atoms
Electronic total energy ... -24.00 eV/f.u.

Cell: 6.7038 6.7038 6.7038 Å, 146.41 131.07 60.66°
Atoms (fractional coordinates):
Ba: 0.0000 0.0000 0.0000
Ba: 0.7187 0.2187 0.5000
Re: 0.3012 0.8012 0.5000
Tc: 0.4165 0.4165 0.0000


(10)
Below is a geometry-optimized RbTa3Sb structure, with properties calculated at the PBE level.

V ... 28.6 Å³ per atom
Density ... 8708 kg/m3
Crystal system ... cubic
E above lowest polymorph ... 0.00 kJ per mole of atoms
Electronic total energy ... -30.58 eV/f.u.

Cell: 5.2297 5.2297 5.2297 Å, 90.00 90.00 90.00°
Atoms (fractional coordinates):
Rb: 0.0000 0.0000 0.0000
Ta: 0.0000 0.5000 0.5000
Ta: 0.5000 0.0000 0.5000
Ta: 0.5000 0.5000 0.0000
Sb: 0.5000 0.5000 0.5000


(11)
Below is a geometry-optimized Te5Pt structure, with properties calculated at the PBE level.

V ... 29.8 Å³ per atom
Density ... 7747 kg/m3
Crystal system ... monoclinic
E above lowest polymorph ... 2.08 kJ per mole of atoms
Electronic total energy ... -22.68 eV/f.u.

Cell: 6.7404 6.7404 7.8784 Å, 119.44 119.44 35.63°
Atoms (fractional coordinates):
Te: 0.0000 0.0000 0.0000
Te: 0.1239 0.1239 0.7506
Te: 0.3380 0.3380 0.6424
Te: 0.6620 0.6620 0.3576
Te: 0.8761 0.8761 0.2494
Pt: 0.5000 0.5000 0.5000


(12)
Below is a geometry-optimized Pr3ErPd12 structure, with properties calculated at the PBE level.

V ... 18.4 Å³ per atom
Energy of formation ... -12.5 eV/f.u.
Density ... 10516 kg/m3
Crystal system ... tetragonal
Electronic total energy ... -93.68 eV/f.u.

Cell: 4.1889 4.1889 16.8025 Å, 90.00 90.00 90.00°
Atoms (fractional coordinates):
Pr: 0.0000 0.0000 0.0000
Pr: 0.0000 0.0000 0.2546
Pr: 0.0000 0.0000 0.7454
Er: 0.0000 0.0000 0.5000
Pd: 0.0000 0.5000 0.1267
Pd: 0.0000 0.5000 0.3813
Pd: 0.0000 0.5000 0.6187
Pd: 0.0000 0.5000 0.8733
Pd: 0.5000 0.0000 0.1267
Pd: 0.5000 0.0000 0.3813
Pd: 0.5000 0.0000 0.6187
Pd: 0.5000 0.0000 0.8733
Pd: 0.5000 0.5000 0.0000
Pd: 0.5000 0.5000 0.2531
Pd: 0.5000 0.5000 0.5000
Pd: 0.5000 0.5000 0.7469